Density functional theory data (GGA-PBE) for a geometry-optimized ZrNbNi structure.

## Properties
SG = I4mm (107)
V = 52.4 Å³/f.u.

Cell lengths 3.0804, 3.0804, 5.9319 Å; angles 105.05, 105.05, 90.00 degrees
Fractional positions:
Ni1 0.3198 0.3198 0.6395
Nb1 0.6886 0.6886 0.3771
Zr1 0.9917 0.9917 0.9834

Density functional theory data (GGA-PBE) for a geometry-optimized ZrNb2Ni structure.

## Properties
SG = Fm-3m (225)
V = 68.8 Å³/f.u.

Cell lengths 4.5999, 4.5999, 4.5999 Å; angles 60.00, 60.00, 60.00 degrees
Fractional positions:
Ni1 0.0000 0.0000 0.0000
Nb1 0.2500 0.2500 0.2500
Nb2 0.7500 0.7500 0.7500
Zr1 0.5000 0.5000 0.5000

Density functional theory data (GGA-PBE) for a geometry-optimized ZrNb3Ni structure.

## Properties
SG = Pm-3m (221)
V = 102.1 Å³/f.u.

Cell lengths 4.6738, 4.6738, 4.6738 Å; angles 90.00, 90.00, 90.00 degrees
Fractional positions:
Ni1 0.0000 0.0000 0.0000
Nb1 0.0000 0.5000 0.0000
Nb2 0.0000 0.0000 0.5000
Nb3 0.5000 0.0000 0.0000
Zr1 0.5000 0.5000 0.5000

In the order shown, the computed DFT formation energy values come out to -0.13 0.14 0.65 eV/atom.
In the order shown, the computed mass density values come out to 7.70 8.10 6.97 g/cm3.
In the order shown, the computed total magnetic moment values come out to 0.0 0.0 0.0 Bohr magnetons per cell.